Entry 1:
An optimized crystal structure of Na2FeCl5. Source: Alexandria via LeMat-Bulk, functional PBE.

## Properties
**Final energy**: -3.796 eV/atom
**Formation energy from raw total energies**: -1.254 eV per atom

a = 11.2950 Å, b = 11.6374 Å, c = 8.2210 Å
α = 90.00°, β = 90.00°, γ = 90.00°
Closest atoms and distances in Å follow each position.
Positions (direct):
Na: 0.0000 0.0000 0.2201  2 Cl 2.64
Na: 0.0000 0.0000 0.7799  2 Cl 2.64
Na: 0.1280 0.3463 0.0000  4 Cl 2.57-2.86
Na: 0.3720 0.8463 0.5000  4 Cl 2.57-2.86
Na: 0.5000 0.5000 0.2799  2 Cl 2.64
Na: 0.5000 0.5000 0.7201  2 Cl 2.64
Na: 0.6280 0.1537 0.5000  4 Cl 2.57-2.86
Na: 0.8720 0.6537 0.0000  4 Cl 2.57-2.86
Fe: 0.2484 0.2375 0.5000  4 Cl 2.21-2.23
Fe: 0.2516 0.7375 0.0000  4 Cl 2.21-2.23
Fe: 0.7484 0.2625 0.0000  4 Cl 2.21-2.23
Fe: 0.7516 0.7625 0.5000  4 Cl 2.21-2.23
Cl: 0.0711 0.1548 0.5000  1 Fe 2.22
Cl: 0.1086 0.1267 0.0000  3 Na 2.57-2.64
Cl: 0.1185 0.5958 0.0000  1 Fe 2.23
Cl: 0.2262 0.8474 0.2166  1 Fe 2.21
Cl: 0.2262 0.8474 0.7834  1 Fe 2.21
Cl: 0.2738 0.3474 0.2834  1 Fe 2.21
Cl: 0.2738 0.3474 0.7166  1 Fe 2.21
Cl: 0.3815 0.0958 0.5000  1 Fe 2.23
Cl: 0.3914 0.6267 0.5000  3 Na 2.57-2.64
Cl: 0.4289 0.6548 0.0000  1 Fe 2.22
Cl: 0.5711 0.3452 0.0000  1 Fe 2.22
Cl: 0.6086 0.3733 0.5000  3 Na 2.57-2.64
Cl: 0.6185 0.9042 0.5000  1 Fe 2.23
Cl: 0.7262 0.6526 0.2834  1 Fe 2.21
Cl: 0.7262 0.6526 0.7166  1 Fe 2.21
Cl: 0.7738 0.1526 0.2166  1 Fe 2.21
Cl: 0.7738 0.1526 0.7834  1 Fe 2.21
Cl: 0.8815 0.4042 0.0000  1 Fe 2.23
Cl: 0.8914 0.8733 0.0000  3 Na 2.57-2.64
Cl: 0.9289 0.8452 0.5000  1 Fe 2.22

---

Entry 2:
An optimized crystal structure of SrMoW2. Source: Alexandria via LeMat-Bulk, functional PBE.

## Properties
**Final energy**: -8.328 eV/atom
**ΔE_f**: 1277 meV per atom

a = 3.0807 Å, b = 4.8241 Å, c = 5.0157 Å
α = 90.00°, β = 90.00°, γ = 90.00°
Closest atoms and distances in Å follow each position.
Positions (direct):
Sr: 0.0000 0.0000 0.0000  4 Mo 2.86, 4 W 2.94, 2 Sr 3.08
Mo: 0.5000 0.5000 0.0000  4 Sr 2.86, 4 W 2.94, 2 Mo 3.08
W: 0.0000 0.5000 0.5000  6 W 2.86-3.08, 4 Mo 2.94
W: 0.5000 0.0000 0.5000  6 W 2.86-3.08, 4 Sr 2.94